# PBE Dy2PI, optimized geometry
# V   106 Å³ per cell
# ρ   7.59 g/cm3
# Fermi-level density of states   1.0 states/eV/f.u.
# Energy   -5.3412 eV/atom
data_Dy2PI
_chemical_formula_sum 'Dy2 P1 I1'
_cell_length_a 4.046
_cell_length_b 4.046
_cell_length_c 7.811
_cell_angle_alpha 74.95
_cell_angle_beta 74.95
_cell_angle_gamma 60.01
_symmetry_space_group_name_H-M 'P 1'
_symmetry_Int_Tables_number 1
loop_
_symmetry_equiv_pos_as_xyz
'x,y,z'
loop_
_atom_site_label
_atom_site_type_symbol
_atom_site_fract_x
_atom_site_fract_y
_atom_site_fract_z
Dy1 Dy 0.187 0.187 0.439
I1 I 0.751 0.751 0.746
P1 P 0.582 0.582 0.255
Dy2 Dy 0.980 0.980 0.060